Entry 1:
## K2ErScTe4 (PBE)

Data for a relaxed K2ErScTe4 crystal.

Final energy in eV for the cell shown: -36.2
Size of the total moment in μB/f.u.: 0.0
E_form (uncorrected) in eV per atom: -1.314

Cell and atoms, written as CIF:
```
data_K2ErScTe4
_space_group_name_H-M_alt 'P 1 2/m 1'
_space_group_IT_number 10
_space_group_name_Hall '-P 2y'
_cell_length_a 7.603
_cell_length_b 4.390
_cell_length_c 8.594
_cell_angle_alpha 90.00
_cell_angle_beta 107.13
_cell_angle_gamma 90.00
loop_
_atom_site_label
_atom_site_type_symbol
_atom_site_fract_x
_atom_site_fract_y
_atom_site_fract_z
K1 K 0.000 0.000 0.000
K2 K 0.500 0.500 0.000
Er1 Er 0.000 0.500 0.500
Sc1 Sc 0.500 0.000 0.500
Te1 Te 0.243 0.000 0.705
Te2 Te 0.275 0.500 0.300
```

***

Entry 2:
## TiReNi (PBE)

Data for a relaxed TiReNi crystal.

Final energy in eV for the cell shown: -107.4
Size of the total moment in μB/f.u.: 0.0
Polymorph energy (0 for the lowest one) in eV/f.u.: 0.00

Cell and atoms, written as CIF:
```
data_TiReNi
_space_group_name_H-M_alt 'C 1 m 1'
_space_group_IT_number 8
_space_group_name_Hall 'C -2y'
_cell_length_a 8.130
_cell_length_b 3.966
_cell_length_c 5.326
_cell_angle_alpha 90.00
_cell_angle_beta 102.53
_cell_angle_gamma 90.00
loop_
_atom_site_label
_atom_site_type_symbol
_atom_site_fract_x
_atom_site_fract_y
_atom_site_fract_z
Ti1 Ti 0.000 0.000 0.000
Ti2 Ti 0.185 0.500 0.342
Re1 Re 0.169 0.500 0.828
Re2 Re 0.341 0.000 0.674
Ni1 Ni 0.005 0.000 0.481
Ni2 Ni 0.343 0.000 0.183
```

***

Entry 3:
## CdCu (PBE)

Data for a relaxed CdCu crystal.

Final energy in eV for the cell shown: -75.3
Size of the total moment in μB/f.u.: 0.0

Cell and atoms, written as CIF:
```
data_CdCu
_space_group_name_H-M_alt 'F d d d'
_space_group_IT_number 70
_cell_length_a 4.891
_cell_length_b 8.227
_cell_length_c 14.014
_cell_angle_alpha 90.00
_cell_angle_beta 90.00
_cell_angle_gamma 90.00
loop_
_space_group_symop_operation_xyz
'x,y,z'
'-x,-y,-z'
'-x+1/4,-y+1/4,z'
'x+1/4,y+1/4,-z'
'x,-y+1/4,-z+1/4'
'-x,y+1/4,z+1/4'
'-x+1/4,y,-z+1/4'
'x+1/4,-y,z+1/4'
'x,y+1/2,z+1/2'
'-x,-y+1/2,-z+1/2'
'-x+1/4,-y+3/4,z+1/2'
'x+1/4,y+3/4,-z+1/2'
'x,-y+3/4,-z+3/4'
'-x,y+3/4,z+3/4'
'-x+1/4,y+1/2,-z+3/4'
'x+1/4,-y+1/2,z+3/4'
'x+1/2,y,z+1/2'
'-x+1/2,-y,-z+1/2'
'-x+3/4,-y+1/4,z+1/2'
'x+3/4,y+1/4,-z+1/2'
'x+1/2,-y+1/4,-z+3/4'
'-x+1/2,y+1/4,z+3/4'
'-x+3/4,y,-z+3/4'
'x+3/4,-y,z+3/4'
'x+1/2,y+1/2,z'
'-x+1/2,-y+1/2,-z'
'-x+3/4,-y+3/4,z'
'x+3/4,y+3/4,-z'
'x+1/2,-y+3/4,-z+1/4'
'-x+1/2,y+3/4,z+1/4'
'-x+3/4,y+1/2,-z+1/4'
'x+3/4,-y+1/2,z+1/4'
loop_
_atom_site_label
_atom_site_type_symbol
_atom_site_fract_x
_atom_site_fract_y
_atom_site_fract_z
Cd1 Cd 0.125 0.292 0.125
Cu1 Cu 0.125 0.125 0.540
```

***

Entry 4:
## K4Ce (PBE)

Data for a relaxed K4Ce crystal.

Final energy in eV for the cell shown: -6.3
Size of the total moment in μB/f.u.: 4.5

Cell and atoms, written as CIF:
```
data_K4Ce
_space_group_name_H-M_alt 'P m -3 m'
_space_group_IT_number 221
_space_group_name_Hall '-P 4 2 3'
_cell_length_a 7.433
_cell_length_b 7.433
_cell_length_c 7.433
_cell_angle_alpha 90.00
_cell_angle_beta 90.00
_cell_angle_gamma 90.00
loop_
_atom_site_label
_atom_site_type_symbol
_atom_site_fract_x
_atom_site_fract_y
_atom_site_fract_z
K1 K 0.000 0.000 0.000
K2 K 0.000 0.500 0.500
Ce1 Ce 0.500 0.500 0.500
```

***

Entry 5:
## HgRuBr2 (PBE)

Data for a relaxed HgRuBr2 crystal.

Final energy in eV for the cell shown: -25.3
Size of the total moment in μB/f.u.: 0.8
Polymorph energy (0 for the lowest one) in eV/f.u.: 0.40
E_form (uncorrected) in eV per atom: 0.069

Cell and atoms, written as CIF:
```
data_HgRuBr2
_space_group_name_H-M_alt 'C 1 m 1'
_space_group_IT_number 8
_space_group_name_Hall 'C -2y'
_cell_length_a 10.518
_cell_length_b 3.385
_cell_length_c 7.191
_cell_angle_alpha 90.00
_cell_angle_beta 113.67
_cell_angle_gamma 90.00
loop_
_atom_site_label
_atom_site_type_symbol
_atom_site_fract_x
_atom_site_fract_y
_atom_site_fract_z
Hg1 Hg 0.000 0.000 0.000
Ru1 Ru 0.237 0.500 0.000
Br1 Br 0.175 0.000 0.716
Br2 Br 0.331 0.000 0.283
```

***

Entry 6:
## Np2TiO8 (PBE)

Data for a relaxed Np2TiO8 crystal.

Final energy in eV for the cell shown: -205.8
Size of the total moment in μB/f.u.: 2.0
Polymorph energy (0 for the lowest one) in eV/f.u.: 0.00
E_form (uncorrected) in eV per atom: -2.678

Cell and atoms, written as CIF:
```
data_Np2TiO8
_space_group_name_H-M_alt 'C 1 2/m 1'
_space_group_IT_number 12
_space_group_name_Hall '-C 2y'
_cell_length_a 9.167
_cell_length_b 6.758
_cell_length_c 5.110
_cell_angle_alpha 90.00
_cell_angle_beta 114.13
_cell_angle_gamma 90.00
loop_
_atom_site_label
_atom_site_type_symbol
_atom_site_fract_x
_atom_site_fract_y
_atom_site_fract_z
Np1 Np 0.178 0.000 0.292
Ti1 Ti 0.000 0.500 0.000
O1 O 0.049 0.000 0.797
O2 O 0.126 0.500 0.754
O3 O 0.152 0.308 0.246
```

***

Entry 7:
## Th2CdGa (PBE)

Data for a relaxed Th2CdGa crystal.

Final energy in eV for the cell shown: -19.7
Size of the total moment in μB/f.u.: 0.0

Cell and atoms, written as CIF:
```
data_Th2CdGa
_space_group_name_H-M_alt 'P 4/m m m'
_space_group_IT_number 123
_space_group_name_Hall '-P 4 2'
_cell_length_a 4.875
_cell_length_b 4.875
_cell_length_c 4.434
_cell_angle_alpha 90.00
_cell_angle_beta 90.00
_cell_angle_gamma 90.00
loop_
_atom_site_label
_atom_site_type_symbol
_atom_site_fract_x
_atom_site_fract_y
_atom_site_fract_z
Th1 Th 0.000 0.500 0.000
Cd1 Cd 0.000 0.000 0.500
Ga1 Ga 0.500 0.500 0.500
```

***

Entry 8:
## RbHg2Br6 (PBE)

Data for a relaxed RbHg2Br6 crystal.

Final energy in eV for the cell shown: -35.0
Size of the total moment in μB/f.u.: 0.0
E_form (uncorrected) in eV per atom: -0.653

Cell and atoms, written as CIF:
```
data_RbHg2Br6
_space_group_name_H-M_alt 'C 1 2/m 1'
_space_group_IT_number 12
_space_group_name_Hall '-C 2y'
_cell_length_a 14.317
_cell_length_b 5.794
_cell_length_c 12.087
_cell_angle_alpha 90.00
_cell_angle_beta 124.79
_cell_angle_gamma 90.00
loop_
_atom_site_label
_atom_site_type_symbol
_atom_site_fract_x
_atom_site_fract_y
_atom_site_fract_z
Rb1 Rb 0.000 0.000 0.000
Hg1 Hg 0.059 0.500 0.717
Br1 Br 0.084 0.500 0.229
Br2 Br 0.175 0.500 0.625
Br3 Br 0.241 0.000 0.987
```

***

Copy entry 7 word for word.
## Th2CdGa (PBE)

Data for a relaxed Th2CdGa crystal.

Final energy in eV for the cell shown: -19.7
Size of the total moment in μB/f.u.: 0.0

Cell and atoms, written as CIF:
```
data_Th2CdGa
_space_group_name_H-M_alt 'P 4/m m m'
_space_group_IT_number 123
_space_group_name_Hall '-P 4 2'
_cell_length_a 4.875
_cell_length_b 4.875
_cell_length_c 4.434
_cell_angle_alpha 90.00
_cell_angle_beta 90.00
_cell_angle_gamma 90.00
loop_
_atom_site_label
_atom_site_type_symbol
_atom_site_fract_x
_atom_site_fract_y
_atom_site_fract_z
Th1 Th 0.000 0.500 0.000
Cd1 Cd 0.000 0.000 0.500
Ga1 Ga 0.500 0.500 0.500
```

***

Repeat the seventh record exactly.
## Th2CdGa (PBE)

Data for a relaxed Th2CdGa crystal.

Final energy in eV for the cell shown: -19.7
Size of the total moment in μB/f.u.: 0.0

Cell and atoms, written as CIF:
```
data_Th2CdGa
_space_group_name_H-M_alt 'P 4/m m m'
_space_group_IT_number 123
_space_group_name_Hall '-P 4 2'
_cell_length_a 4.875
_cell_length_b 4.875
_cell_length_c 4.434
_cell_angle_alpha 90.00
_cell_angle_beta 90.00
_cell_angle_gamma 90.00
loop_
_atom_site_label
_atom_site_type_symbol
_atom_site_fract_x
_atom_site_fract_y
_atom_site_fract_z
Th1 Th 0.000 0.500 0.000
Cd1 Cd 0.000 0.000 0.500
Ga1 Ga 0.500 0.500 0.500
```

***

- What is the final energy in the second record?
  -107.4 eV for the cell shown